18
Lattice="5.5999 0.0000 0.0000 -2.7999 10.8137 0.0000 0.0000 0.0000 9.3851" Properties=species:S:1:pos:R:3 comment="Tb2Er5ThSc PBE optimized geometry" dos_at_fermi_per_ev_fu=13.3 vol_a3_per_cell=568 formation_enthalpy_0k_ev_per_atom=0.173 magnetic_moment_mub_per_fu=0.00 sg="No. 36" pbc="T T T"
Tb 2.7999 7.9110 1.9618
Tb 0.0000 2.4849 2.9897
Tb 2.7999 8.3288 7.6822
Tb 0.0000 2.9027 6.6543
Sc 2.7999 6.6594 4.8292
Sc 0.0000 4.1542 0.1366
Er 0.0000 5.7958 3.0881
Er 0.0000 10.1989 7.0166
Er 0.0000 0.2663 0.1239
Er 2.7999 4.2341 2.0601
Er 2.7999 5.0179 7.7806
Er 2.7999 10.5474 4.8164
Er 2.7999 0.6147 2.3241
Er 0.0000 8.5213 0.4143
Er 0.0000 6.5795 6.7526
Er 2.7999 2.2924 5.1068
Th 0.0000 8.6658 4.0196
Th 2.7999 2.1479 8.7121

4
Lattice="-2.4780 -1.4117 3.7623 -3.8805 -2.3531 1.3011 2.2224 -4.3636 0.4028" Properties=species:S:1:pos:R:3 comment="SiTc2Hg PBE optimized geometry" dos_at_fermi_per_ev_fu=3.3 vol_a3_per_cell=65 raw_formation_energy_ev_per_atom=0.364 magnetic_moment_mub_per_fu=0.00 de_polymorph_mev_per_atom=318.8 sg="No. 8" pbc="T T T"
Hg -2.1623 -4.0847 2.7946
Tc -1.2111 -1.8369 1.3928
Tc -4.1037 -8.0976 5.4360
Si -2.8628 -6.3020 4.0420

16
Lattice="-2.2569 -9.0252 0.3919 0.6410 0.2823 10.1918 -5.7739 6.0707 -4.0622" Properties=species:S:1:pos:R:3 comment="Ba8IrPd3I4 PBE optimized geometry" dos_at_fermi_per_ev_fu=9.9 vol_a3_per_cell=652 raw_formation_energy_ev_per_atom=-0.939 magnetic_moment_mub_per_fu=0.00 sg="No. 166" pbc="T T T"
Ba -5.6828 4.0458 3.2774
Ba -0.5406 -2.0537 3.0416
Ba -3.9163 -3.5828 5.5526
Ba -3.4734 0.9107 0.9689
Ba -4.6903 -3.5807 1.1452
Ba -1.7069 -6.7180 3.2441
Ba -2.6995 0.9085 5.3763
Ba -6.8492 -0.6185 3.4799
Pd -3.6949 -1.3361 3.2607
Pd -2.5665 3.1765 3.0648
Pd -0.8079 -4.3715 5.2918
I -2.8870 3.0354 -2.0311
I 0.0000 0.0000 0.0000
I -4.0154 -1.4772 -1.8351
I -1.1284 -4.5126 0.1960
Ir 0.3205 0.1412 5.0959

15
Lattice="-1.5807 6.7677 3.5819 -7.4816 -1.4424 -1.7538 -0.1834 -4.1663 6.6135" Properties=species:S:1:pos:R:3 comment="RbU6Se8 PBE optimized geometry" dos_at_fermi_per_ev_fu=15.8 vol_a3_per_cell=474 raw_formation_energy_ev_per_atom=-0.907 magnetic_moment_mub_per_fu=5.55 sg="No. 148" pbc="T T T"
Se -5.3224 -2.8165 6.1525
Se -6.6304 0.8312 6.0539
Se -3.9232 3.9755 2.2892
Se -5.4488 -2.1490 1.4592
Se -8.0545 1.6613 2.5454
Se -3.7969 3.3080 6.9824
Se -2.6152 0.3278 2.3878
Se -1.1912 -0.5023 5.8962
U -4.0388 -0.2501 6.1331
U -6.4080 -0.4555 3.5665
U -4.1077 -1.5002 3.9118
U -2.8377 1.6145 4.8751
U -5.2068 1.4091 2.3085
U -5.1380 2.6592 4.5299
Rb 0.0000 0.0000 0.0000

6
Lattice="5.5336 0.0000 0.0000 2.7668 4.7922 0.0000 2.7668 1.5974 4.5182" Properties=species:S:1:pos:R:3 comment="Li4GdIn PBE optimized geometry" dos_at_fermi_per_ev_fu=4.2 vol_a3_per_cell=120 formation_enthalpy_0k_ev_per_atom=-0.150 magnetic_moment_mub_per_fu=6.92 sg="No. 216" pbc="T T T"
Li 5.5336 1.5821 2.8292
Li 6.9302 4.0012 2.8292
Li 4.1370 4.0012 2.8292
Li 5.5336 3.1948 0.5486
Gd 2.7668 1.5974 1.1295
In 0.0000 0.0000 0.0000

7
Lattice="-4.1724 0.4202 -1.5942 -2.4801 -3.6551 -0.7851 -4.7118 -0.8036 5.8076" Properties=species:S:1:pos:R:3 comment="Mg4IrPt2 PBE optimized geometry" dos_at_fermi_per_ev_fu=2.3 vol_a3_per_cell=123 formation_enthalpy_0k_ev_per_atom=-0.599 magnetic_moment_mub_per_fu=0.00 sg="No. 166" pbc="T T T"
Mg -6.5686 -1.9216 4.0600
Mg -7.6088 -3.1295 0.1515
Mg -4.7956 -2.1168 -0.6317
Mg -3.7554 -0.9089 3.2768
Ir 0.0000 0.0000 0.0000
Pt -2.8085 -1.0132 0.7708
Pt -8.5558 -3.0252 2.6575

5
Lattice="-4.8342 -2.3043 -1.9648 0.0801 -3.7971 4.2561 -3.0272 3.5793 3.2503" Properties=species:S:1:pos:R:3 comment="TeAuI3 PBE optimized geometry" dos_at_fermi_per_ev_fu=4.5 vol_a3_per_cell=186 raw_formation_energy_ev_per_atom=0.377 magnetic_moment_mub_per_fu=2.61 de_polymorph_mev_per_atom=426.2 sg="No. 221" pbc="T T T"
Au 0.0000 0.0000 0.0000
I 0.0401 -1.8986 2.1281
I -2.4171 -1.1521 -0.9824
I -1.5136 1.7896 1.6251
Te -3.8906 -1.2611 2.7708

9
Lattice="-4.2840 0.0384 -1.3445 0.3367 -4.3149 -1.1961 -2.6150 -2.4939 8.2609" Properties=species:S:1:pos:R:3 comment="LaTbSb2Rh5 PBE optimized geometry" dos_at_fermi_per_ev_fu=5.6 vol_a3_per_cell=182 raw_formation_energy_ev_per_atom=-0.534 magnetic_moment_mub_per_fu=0.00 sg="No. 123" pbc="T T T"
Sb -4.1788 -4.2413 5.6960
Sb -2.3835 -2.5291 0.0244
Rh -4.0235 -1.7752 5.2715
Rh -1.7132 -3.9518 5.3457
Rh -2.8755 -0.6803 1.6449
Rh -3.2812 -3.3852 2.8602
Rh -0.5652 -2.8570 1.7191
La -1.3075 -1.2469 4.1305
Tb 0.0000 0.0000 0.0000